No. 1
# Er2Zr5Sc12

A geometry-optimized Er2Zr5Sc12 structure (PBE, Alexandria via LeMat-Bulk).

Properties
- Energy of formation: 142 meV per atom

Cell and atoms, written as CIF:
```
data_Er2Zr5Sc12
_cell_length_a 8.3663
_cell_length_b 8.3663
_cell_length_c 7.8488
_cell_angle_alpha 91.28
_cell_angle_beta 91.28
_cell_angle_gamma 59.72
_space_group_name_H-M_alt 'P 1'
_space_group_IT_number 1
loop_
_space_group_symop_operation_xyz
'x,y,z'
loop_
_atom_site_label
_atom_site_fract_x
_atom_site_fract_y
_atom_site_fract_z
Er1 0.2200 0.7800 0.0000
Er2 0.7800 0.2200 0.0000
Zr1 0.0000 0.0000 0.5000
Zr2 0.2336 0.2336 0.5375
Zr3 0.3523 0.3523 0.0576
Zr4 0.6477 0.6477 0.9424
Zr5 0.7664 0.7664 0.4625
Sc1 0.0158 0.6006 0.7863
Sc2 0.1657 0.1657 0.8609
Sc3 0.1891 0.5928 0.3929
Sc4 0.3994 0.9842 0.2137
Sc5 0.4072 0.8109 0.6071
Sc6 0.4417 0.4417 0.7246
Sc7 0.5583 0.5583 0.2754
Sc8 0.5928 0.1891 0.3929
Sc9 0.6006 0.0158 0.7863
Sc10 0.8109 0.4072 0.6071
Sc11 0.8343 0.8343 0.1391
Sc12 0.9842 0.3994 0.2137
```



No. 2
# Er2ZrSc2

A geometry-optimized Er2ZrSc2 structure (PBE, Alexandria via LeMat-Bulk).

Properties
- ΔE to the lowest computed polymorph: 0.00 eV/f.u.
- Energy of formation: 167 meV per atom

Cell and atoms, written as CIF:
```
data_Er2ZrSc2
_cell_length_a 8.3652
_cell_length_b 8.8864
_cell_length_c 8.1991
_cell_angle_alpha 90.00
_cell_angle_beta 118.84
_cell_angle_gamma 90.00
_space_group_name_H-M_alt 'P 1'
_space_group_IT_number 1
loop_
_space_group_symop_operation_xyz
'x,y,z'
loop_
_atom_site_label
_atom_site_fract_x
_atom_site_fract_y
_atom_site_fract_z
Er1 0.0001 0.1689 0.0023
Er2 0.0001 0.3311 0.5023
Er3 0.9999 0.6689 0.4977
Er4 0.9999 0.8311 0.9977
Er5 0.3212 0.1925 0.4474
Er6 0.3212 0.3075 0.9474
Er7 0.6788 0.6925 0.0526
Er8 0.6788 0.8075 0.5526
Zr1 0.2726 0.6594 0.9466
Zr2 0.2726 0.8406 0.4466
Zr3 0.7274 0.1594 0.5534
Zr4 0.7274 0.3406 0.0534
Sc1 0.1319 0.5142 0.2163
Sc2 0.1319 0.9858 0.7163
Sc3 0.4246 0.5253 0.6647
Sc4 0.4246 0.9747 0.1647
Sc5 0.5754 0.0253 0.8353
Sc6 0.5754 0.4747 0.3353
Sc7 0.8681 0.0142 0.2837
Sc8 0.8681 0.4858 0.7837
```



No. 3
# ErZr2Sc

A geometry-optimized ErZr2Sc structure (PBE, Alexandria via LeMat-Bulk).

Properties
- ΔE to the lowest computed polymorph: 0.01 eV/f.u.
- Energy of formation: 55 meV per atom

Cell and atoms, written as CIF:
```
data_ErZr2Sc
_cell_length_a 3.2687
_cell_length_b 3.2687
_cell_length_c 9.3671
_cell_angle_alpha 90.00
_cell_angle_beta 90.00
_cell_angle_gamma 90.00
_space_group_name_H-M_alt 'P 1'
_space_group_IT_number 1
loop_
_space_group_symop_operation_xyz
'x,y,z'
loop_
_atom_site_label
_atom_site_fract_x
_atom_site_fract_y
_atom_site_fract_z
Er1 0.0000 0.0000 0.0000
Zr1 0.0000 0.0000 0.5107
Zr2 0.5000 0.5000 0.7483
Sc1 0.5000 0.5000 0.2779
```



No. 4
# ErZr2Sc2

A geometry-optimized ErZr2Sc2 structure (PBE, Alexandria via LeMat-Bulk).

Properties
- ΔE to the lowest computed polymorph: 2.06 eV/f.u.
- Energy of formation: 495 meV per atom

Cell and atoms, written as CIF:
```
data_ErZr2Sc2
_cell_length_a 5.4628
_cell_length_b 5.4628
_cell_length_c 8.7778
_cell_angle_alpha 90.00
_cell_angle_beta 90.00
_cell_angle_gamma 90.00
_space_group_name_H-M_alt 'P 1'
_space_group_IT_number 1
loop_
_space_group_symop_operation_xyz
'x,y,z'
loop_
_atom_site_label
_atom_site_fract_x
_atom_site_fract_y
_atom_site_fract_z
Er1 0.0000 0.0000 0.0000
Er2 0.5000 0.5000 0.5000
Zr1 0.0000 0.0000 0.3576
Zr2 0.0000 0.0000 0.6424
Zr3 0.5000 0.5000 0.1424
Zr4 0.5000 0.5000 0.8576
Sc1 0.0000 0.5000 0.2500
Sc2 0.0000 0.5000 0.7500
Sc3 0.5000 0.0000 0.2500
Sc4 0.5000 0.0000 0.7500
```



No. 5
# Er6ZrSc

A geometry-optimized Er6ZrSc structure (PBE, Alexandria via LeMat-Bulk).

Properties
- ΔE to the lowest computed polymorph: 0.00 eV/f.u.
- Energy of formation: 221 meV per atom

Cell and atoms, written as CIF:
```
data_Er6ZrSc
_cell_length_a 6.4111
_cell_length_b 11.1243
_cell_length_c 6.4424
_cell_angle_alpha 90.00
_cell_angle_beta 90.05
_cell_angle_gamma 90.00
_space_group_name_H-M_alt 'P 1'
_space_group_IT_number 1
loop_
_space_group_symop_operation_xyz
'x,y,z'
loop_
_atom_site_label
_atom_site_fract_x
_atom_site_fract_y
_atom_site_fract_z
Er1 0.0640 0.0000 0.2477
Er2 0.2162 0.2823 0.2478
Er3 0.2162 0.7177 0.2478
Er4 0.2838 0.2177 0.7522
Er5 0.2838 0.7823 0.7522
Er6 0.4360 0.5000 0.7523
Er7 0.5640 0.5000 0.2477
Er8 0.7162 0.2177 0.2478
Er9 0.7162 0.7823 0.2478
Er10 0.7838 0.2823 0.7522
Er11 0.7838 0.7177 0.7522
Er12 0.9360 0.0000 0.7523
Zr1 0.0000 0.5000 0.0000
Zr2 0.5000 0.0000 0.0000
Sc1 0.0000 0.5000 0.5000
Sc2 0.5000 0.0000 0.5000
```



No. 6
# Er3ZrSc

A geometry-optimized Er3ZrSc structure (PBE, Alexandria via LeMat-Bulk).

Properties
- ΔE to the lowest computed polymorph: 0.25 eV/f.u.
- Energy of formation: 109 meV per atom

Cell and atoms, written as CIF:
```
data_Er3ZrSc
_cell_length_a 11.0094
_cell_length_b 11.0094
_cell_length_c 8.1448
_cell_angle_alpha 108.68
_cell_angle_beta 108.68
_cell_angle_gamma 17.52
_space_group_name_H-M_alt 'P 1'
_space_group_IT_number 1
loop_
_space_group_symop_operation_xyz
'x,y,z'
loop_
_atom_site_label
_atom_site_fract_x
_atom_site_fract_y
_atom_site_fract_z
Er1 0.0161 0.0161 0.2187
Er2 0.1790 0.1790 0.4386
Er3 0.3709 0.3709 0.9605
Er4 0.6291 0.6291 0.0395
Er5 0.8210 0.8210 0.5614
Er6 0.9839 0.9839 0.7813
Zr1 0.2664 0.2664 0.1743
Zr2 0.7336 0.7336 0.8257
Sc1 0.4222 0.4222 0.4117
Sc2 0.5778 0.5778 0.5883
```



No. 7
# ErZr2Sc

A geometry-optimized ErZr2Sc structure (PBE, Alexandria via LeMat-Bulk).

Properties
- ΔE to the lowest computed polymorph: 0.05 eV/f.u.
- Energy of formation: 65 meV per atom

Cell and atoms, written as CIF:
```
data_ErZr2Sc
_cell_length_a 4.6050
_cell_length_b 4.6050
_cell_length_c 4.6669
_cell_angle_alpha 90.00
_cell_angle_beta 90.00
_cell_angle_gamma 90.00
_space_group_name_H-M_alt 'P 1'
_space_group_IT_number 1
loop_
_space_group_symop_operation_xyz
'x,y,z'
loop_
_atom_site_label
_atom_site_fract_x
_atom_site_fract_y
_atom_site_fract_z
Er1 0.0000 0.0000 0.0000
Zr1 0.0000 0.5000 0.5000
Zr2 0.5000 0.0000 0.5000
Sc1 0.5000 0.5000 0.0000
```



No. 8
# ErZr4Sc4

A geometry-optimized ErZr4Sc4 structure (PBE, Alexandria via LeMat-Bulk).

Properties
- Energy of formation: 68 meV per atom

Cell and atoms, written as CIF:
```
data_ErZr4Sc4
_cell_length_a 5.6072
_cell_length_b 8.0194
_cell_length_c 10.6335
_cell_angle_alpha 73.08
_cell_angle_beta 77.55
_cell_angle_gamma 76.49
_space_group_name_H-M_alt 'P 1'
_space_group_IT_number 1
loop_
_space_group_symop_operation_xyz
'x,y,z'
loop_
_atom_site_label
_atom_site_fract_x
_atom_site_fract_y
_atom_site_fract_z
Er1 0.0826 0.2582 0.2488
Er2 0.9174 0.7418 0.7512
Zr1 0.3385 0.5814 0.2514
Zr2 0.3845 0.6909 0.9223
Zr3 0.4349 0.0879 0.7365
Zr4 0.4615 0.8080 0.5810
Zr5 0.5385 0.1920 0.4190
Zr6 0.5651 0.9121 0.2635
Zr7 0.6155 0.3091 0.0777
Zr8 0.6615 0.4186 0.7486
Sc1 0.0055 0.8628 0.4168
Sc2 0.1574 0.3522 0.9113
Sc3 0.1654 0.9615 0.0953
Sc4 0.2377 0.4702 0.5778
Sc5 0.7623 0.5298 0.4222
Sc6 0.8346 0.0385 0.9047
Sc7 0.8426 0.6478 0.0887
Sc8 0.9945 0.1372 0.5832
```